Record 1
KPt2W: relaxed, PBE.

abc: 10.2573 10.2573 10.2573
angles: 16.16 16.16 16.16
With the nearest neighbours (Å) after each atom.
Fractional coordinates of all 4 atoms:
1 K 0.7500 0.7500 0.7500  6 K 2.88
2 Pt 0.9892 0.9892 0.9892  3 W 2.76, 6 Pt 2.88
3 Pt 0.5108 0.5108 0.5108  3 W 2.76, 6 Pt 2.88
4 W 0.2500 0.2500 0.2500  6 Pt 2.76, 6 W 2.88

Values from the calculation:
ΔE_f = 0.2589 eV per atom
Space-group type = R-3m
Calculated total energy = -0.46115 Ry/atom
Relative energy among the computed polymorphs = 245 meV/atom



Record 2
KPt2W: relaxed, PBE.

abc: 5.1327 5.1327 2.7480
angles: 90.00 90.00 90.02
With the nearest neighbours (Å) after each atom.
Fractional coordinates of all 4 atoms:
1 K 0.0000 0.5000 0.5000  2 K 2.75, 8 Pt 2.91
2 Pt 0.0000 0.0000 0.0000  2 Pt 2.75, 4 K 2.91, 4 W 2.91
3 Pt 0.5000 0.5000 0.0000  2 Pt 2.75, 4 W 2.91, 4 K 2.91
4 W 0.5000 0.0000 0.5000  2 W 2.75, 8 Pt 2.91

Values from the calculation:
ΔE_f = 0.3993 eV per atom
Space-group type = P4/mmm
Calculated total energy = -0.45082 Ry/atom
Relative energy among the computed polymorphs = 385 meV/atom



Record 3
KPtW: relaxed, PBE.

abc: 4.9928 4.9928 2.7292
angles: 90.00 90.00 120.00
With the nearest neighbours (Å) after each atom.
Fractional coordinates of all 3 atoms:
1 K 0.0000 0.0000 0.9999  2 K 2.73
2 Pt 0.6667 0.3333 0.4996  2 Pt 2.73, 3 W 2.88
3 W 0.3333 0.6667 0.5005  2 W 2.73, 3 Pt 2.88

Values from the calculation:
ΔE_f = 1.2152 eV per atom
Space-group type = P-6m2
Calculated total energy = -0.40292 Ry/atom
Relative energy among the computed polymorphs = 676 meV/atom



Record 4
KPt3W: relaxed, PBE.

abc: 4.9495 4.9495 4.9495
angles: 90.00 90.00 90.00
With the nearest neighbours (Å) after each atom.
Fractional coordinates of all 5 atoms:
1 K 0.5000 0.5000 0.5000  12 Pt 3.50
2 W 0.0000 0.0000 0.0000  6 Pt 2.47
3 Pt 0.0000 0.5000 0.0000  2 W 2.47
4 Pt 0.0000 0.0000 0.5000  2 W 2.47
5 Pt 0.5000 0.0000 0.0000  2 W 2.47

Values from the calculation:
ΔE_f = 0.6082 eV per atom
Space-group type = Pm-3m
Calculated total energy = -0.42824 Ry/atom



Record 5
KPtW: relaxed, PBE.

abc: 4.7928 4.7928 4.7928
angles: 60.00 60.00 60.00
With the nearest neighbours (Å) after each atom.
Fractional coordinates of all 3 atoms:
1 K 0.7500 0.7500 0.7500  4 Pt 2.93, 4 W 2.93
2 Pt 0.0000 0.0000 0.0000  4 K 2.93
3 W 0.5000 0.5000 0.5000  4 K 2.93

Values from the calculation:
ΔE_f = 2.5615 eV per atom
Space-group type = F-43m
Calculated total energy = -0.30397 Ry/atom
Relative energy among the computed polymorphs = 2022 meV/atom



Record 6
KPt2W: relaxed, PBE.

abc: 2.7380 4.2193 7.5742
angles: 90.00 90.00 90.00
With the nearest neighbours (Å) after each atom.
Fractional coordinates of all 4 atoms:
1 K 0.5000 0.5000 0.7700  2 K 2.74
2 Pt 0.0000 0.0000 0.0647  1 W 2.51, 2 Pt 2.74
3 Pt 0.5000 0.5000 0.2694  4 W 2.69, 6 Pt 2.74-2.95
4 W 0.0000 0.0000 0.3959  5 Pt 2.51-2.69, 2 W 2.74

Values from the calculation:
ΔE_f = 0.3716 eV per atom
Space-group type = Pmm2
Calculated total energy = -0.45286 Ry/atom
Relative energy among the computed polymorphs = 358 meV/atom